[1]
VASP calculation (PBE) on a relaxed structure of VAuIN2.

a b c (Å): 3.927 3.927 7.015
angles (deg): 90.00 90.00 90.00
Fractional positions:
V1 0.000 0.000 0.000
Au1 0.500 0.500 0.500
I1 0.500 0.500 0.000
N1 0.000 0.500 0.500
N2 0.500 0.000 0.500

## Properties
Its uncorrected formation energy is 2074 meV per atom.

[2]
VASP calculation (PBE) on a relaxed structure of ZnOsBr2.

a b c (Å): 3.812 3.812 9.439
angles (deg): 101.35 101.35 60.00
Fractional positions:
Zn1 0.000 0.000 0.000
Os1 0.500 0.500 0.500
Br1 0.212 0.212 0.638
Br2 0.788 0.788 0.362

## Properties
Its uncorrected formation energy is 522 meV per atom.

[3]
VASP calculation (PBE) on a relaxed structure of SrLi2Cl.

a b c (Å): 5.902 5.902 5.902
angles (deg): 130.58 130.58 72.48
Fractional positions:
Sr1 0.000 0.000 0.000
Li1 0.500 0.500 0.000
Li2 0.750 0.250 0.500
Cl1 0.250 0.750 0.500

## Properties
Its uncorrected formation energy is -448 meV per atom.

[4]
VASP calculation (PBE) on a relaxed structure of CuOs4Rh.

a b c (Å): 5.107 5.107 5.107
angles (deg): 60.00 60.00 60.00
Fractional positions:
Cu1 0.000 0.000 0.000
Os1 0.375 0.375 0.375
Os2 0.375 0.375 0.874
Os3 0.375 0.874 0.375
Os4 0.874 0.375 0.375
Rh1 0.750 0.750 0.750

## Properties
The formation energy comes out at 19.95 kcal/mol of atoms.

[5]
VASP calculation (PBE) on a relaxed structure of Ta3NbFe.

a b c (Å): 5.451 7.923 8.427
angles (deg): 90.00 90.00 90.00
Fractional positions:
Ta1 0.047 0.250 0.150
Ta2 0.246 0.564 0.272
Ta3 0.246 0.936 0.272
Ta4 0.254 0.064 0.772
Ta5 0.254 0.436 0.772
Ta6 0.453 0.750 0.650
Ta7 0.547 0.250 0.350
Ta8 0.746 0.564 0.228
Ta9 0.746 0.936 0.228
Ta10 0.754 0.064 0.728
Ta11 0.754 0.436 0.728
Ta12 0.953 0.750 0.850
Nb1 0.070 0.250 0.487
Nb2 0.430 0.750 0.987
Nb3 0.570 0.250 0.013
Nb4 0.930 0.750 0.513
Fe1 0.000 0.000 0.000
Fe2 0.000 0.500 0.000
Fe3 0.500 0.000 0.500
Fe4 0.500 0.500 0.500

## Properties
The formation energy comes out at 9.94 kcal/mol of atoms.

[6]
VASP calculation (PBE) on a relaxed structure of ZnCo2Br.

a b c (Å): 3.929 3.929 6.215
angles (deg): 107.31 107.31 58.75
Fractional positions:
Zn1 0.000 0.000 0.000
Co1 0.414 0.414 0.240
Co2 0.726 0.726 0.190
Br1 0.990 0.990 0.573

## Properties
Its uncorrected formation energy is 270 meV per atom.

[7]
VASP calculation (PBE) on a relaxed structure of ScAlAs.

a b c (Å): 4.336 4.336 3.550
angles (deg): 90.00 90.00 120.00
Fractional positions:
Sc1 0.000 0.000 0.000
Al1 0.667 0.333 0.500
As1 0.333 0.667 0.500

## Properties
The formation energy comes out at -10.03 kcal/mol of atoms.

[8]
VASP calculation (PBE) on a relaxed structure of Fe2RePt.

a b c (Å): 4.595 4.595 2.671
angles (deg): 90.00 90.00 108.36
Fractional positions:
Fe1 0.000 0.500 0.000
Fe2 0.500 0.000 0.000
Re1 0.000 0.000 0.500
Pt1 0.500 0.500 0.500

## Properties
The formation energy comes out at 0.94 kcal/mol of atoms.

[9]
VASP calculation (PBE) on a relaxed structure of LiAgBPd2.

a b c (Å): 4.086 4.086 4.392
angles (deg): 90.00 90.00 90.00
Fractional positions:
Li1 0.000 0.000 0.000
Ag1 0.500 0.500 0.000
B1 0.000 0.000 0.500
Pd1 0.000 0.500 0.500
Pd2 0.500 0.000 0.500

## Properties
The formation energy comes out at -3.34 kcal/mol of atoms.

[10]
VASP calculation (PBE) on a relaxed structure of ZrScCu.

a b c (Å): 7.543 7.543 4.880
angles (deg): 90.63 90.63 24.96
Fractional positions:
Zr1 0.000 0.000 0.000
Zr2 0.690 0.690 0.021
Sc1 0.555 0.555 0.506
Sc2 0.857 0.857 0.484
Cu1 0.206 0.206 0.546
Cu2 0.344 0.344 0.957

## Properties
The formation energy comes out at -2.50 kcal/mol of atoms.

[11]
VASP calculation (PBE) on a relaxed structure of CdHPb3.

a b c (Å): 5.698 5.698 5.698
angles (deg): 90.00 90.00 90.00
Fractional positions:
Cd1 0.000 0.000 0.000
H1 0.500 0.500 0.500
Pb1 0.000 0.000 0.500
Pb2 0.000 0.500 0.000
Pb3 0.500 0.000 0.000

## Properties
The calculation puts the uncorrected energy at -2.164 eV/atom.

[12]
VASP calculation (PBE) on a relaxed structure of Sm2YPa.

a b c (Å): 12.547 12.547 12.547
angles (deg): 15.44 15.44 15.44
Fractional positions:
Sm1 0.086 0.086 0.086
Sm2 0.914 0.914 0.914
Y1 0.500 0.500 0.500
Pa1 0.000 0.000 0.000

## Properties
The formation energy comes out at 7.10 kcal/mol of atoms.

[13]
VASP calculation (PBE) on a relaxed structure of Nd4Tm3In4.

a b c (Å): 10.961 10.961 10.961
angles (deg): 161.17 129.03 54.81
Fractional positions:
Nd1 0.014 0.839 0.175
Nd2 0.336 0.161 0.175
Nd3 0.664 0.839 0.825
Nd4 0.986 0.161 0.825
Tm1 0.000 0.500 0.500
Tm2 0.407 0.407 0.000
Tm3 0.593 0.593 0.000
In1 0.277 0.777 0.500
In2 0.282 0.000 0.282
In3 0.718 0.000 0.718
In4 0.723 0.223 0.500

## Properties
The formation energy comes out at -7.01 kcal/mol of atoms.

[14]
VASP calculation (PBE) on a relaxed structure of Cd2SeF.

a b c (Å): 4.779 4.779 4.779
angles (deg): 60.00 60.00 60.00
Fractional positions:
Cd1 0.250 0.250 0.250
Cd2 0.750 0.750 0.750
Se1 0.000 0.000 0.000
F1 0.500 0.500 0.500

## Properties
Its uncorrected formation energy is -760 meV per atom.

[15]
VASP calculation (PBE) on a relaxed structure of LaDy2Pd.

a b c (Å): 9.533 9.533 9.533
angles (deg): 23.78 23.78 23.78
Fractional positions:
La1 0.000 0.000 0.000
Dy1 0.229 0.229 0.229
Dy2 0.443 0.443 0.443
Pd1 0.837 0.837 0.837

## Properties
The formation energy comes out at -7.24 kcal/mol of atoms.

[16]
VASP calculation (PBE) on a relaxed structure of BeRu2Rh.

a b c (Å): 4.633 4.633 4.633
angles (deg): 133.27 133.27 68.24
Fractional positions:
Be1 0.000 0.000 0.000
Ru1 0.500 0.500 0.000
Ru2 0.750 0.250 0.500
Rh1 0.250 0.750 0.500

## Properties
The formation energy comes out at 0.56 kcal/mol of atoms.

[17]
VASP calculation (PBE) on a relaxed structure of Sc7CoI12.

a b c (Å): 9.412 9.412 9.412
angles (deg): 107.30 107.30 107.30
Fractional positions:
Sc1 0.000 0.000 0.000
Sc2 0.220 0.477 0.411
Sc3 0.411 0.220 0.477
Sc4 0.477 0.411 0.220
Sc5 0.523 0.589 0.780
Sc6 0.589 0.780 0.523
Sc7 0.780 0.523 0.589
Co1 0.500 0.500 0.500
I1 0.043 0.116 0.339
I2 0.116 0.339 0.043
I3 0.187 0.572 0.722
I4 0.278 0.813 0.428
I5 0.339 0.043 0.116
I6 0.428 0.278 0.813
I7 0.572 0.722 0.187
I8 0.661 0.957 0.884
I9 0.722 0.187 0.572
I10 0.813 0.428 0.278
I11 0.884 0.661 0.957
I12 0.957 0.884 0.661

## Properties
Its uncorrected formation energy is -1086 meV per atom.

[18]
VASP calculation (PBE) on a relaxed structure of RbCd4Au2.

a b c (Å): 8.769 8.769 4.559
angles (deg): 90.00 90.00 90.00
Fractional positions:
Rb1 0.000 0.000 0.000
Rb2 0.500 0.500 0.500
Cd1 0.088 0.344 0.500
Cd2 0.156 0.588 0.000
Cd3 0.344 0.088 0.500
Cd4 0.412 0.844 0.000
Cd5 0.588 0.156 0.000
Cd6 0.656 0.912 0.500
Cd7 0.844 0.412 0.000
Cd8 0.912 0.656 0.500
Au1 0.224 0.776 0.500
Au2 0.276 0.276 0.000
Au3 0.724 0.724 0.000
Au4 0.776 0.224 0.500

## Properties
The formation energy comes out at -4.94 kcal/mol of atoms.

[19]
VASP calculation (PBE) on a relaxed structure of Sc5Ag4Pb.

a b c (Å): 3.432 3.432 17.915
angles (deg): 90.00 90.00 90.00
Fractional positions:
Sc1 0.000 0.000 0.000
Sc2 0.000 0.000 0.192
Sc3 0.000 0.000 0.385
Sc4 0.000 0.000 0.615
Sc5 0.000 0.000 0.808
Ag1 0.500 0.500 0.096
Ag2 0.500 0.500 0.286
Ag3 0.500 0.500 0.714
Ag4 0.500 0.500 0.904
Pb1 0.500 0.500 0.500

## Properties
The formation energy comes out at -6.52 kcal/mol of atoms.

[20]
VASP calculation (PBE) on a relaxed structure of LaZr2Sn2.

a b c (Å): 8.828 8.828 3.241
angles (deg): 90.00 90.00 90.00
Fractional positions:
La1 0.000 0.000 0.000
La2 0.500 0.500 0.000
Zr1 0.120 0.380 0.000
Zr2 0.380 0.880 0.000
Zr3 0.620 0.120 0.000
Zr4 0.880 0.620 0.000
Sn1 0.174 0.674 0.500
Sn2 0.326 0.174 0.500
Sn3 0.674 0.826 0.500
Sn4 0.826 0.326 0.500

## Properties
The formation energy comes out at -9.72 kcal/mol of atoms.

[21]
VASP calculation (PBE) on a relaxed structure of Ba3AgSn.

a b c (Å): 8.907 5.364 9.461
angles (deg): 90.00 112.75 90.00
Fractional positions:
Ba1 0.063 0.250 0.216
Ba2 0.321 0.250 0.930
Ba3 0.367 0.750 0.589
Ba4 0.633 0.250 0.411
Ba5 0.679 0.750 0.070
Ba6 0.937 0.750 0.784
Ag1 0.049 0.250 0.566
Ag2 0.951 0.750 0.434
Sn1 0.326 0.750 0.183
Sn2 0.674 0.250 0.817

## Properties
The formation energy comes out at -9.70 kcal/mol of atoms.

[22]
VASP calculation (PBE) on a relaxed structure of Rb3Mg2Br5Cl2.

a b c (Å): 13.976 13.976 13.976
angles (deg): 157.68 157.68 31.77
Fractional positions:
Rb1 0.000 0.000 0.000
Rb2 0.184 0.184 0.000
Rb3 0.816 0.816 0.000
Mg1 0.397 0.397 0.000
Mg2 0.603 0.603 0.000
Br1 0.098 0.598 0.500
Br2 0.402 0.902 0.500
Br3 0.500 0.500 0.000
Br4 0.598 0.098 0.500
Br5 0.902 0.402 0.500
Cl1 0.306 0.306 0.000
Cl2 0.694 0.694 0.000

## Properties
Its uncorrected formation energy is -1679 meV per atom.

[23]
VASP calculation (PBE) on a relaxed structure of TlAgTeCl6.

a b c (Å): 7.051 7.051 6.877
angles (deg): 90.00 90.00 120.00
Fractional positions:
Tl1 0.000 0.000 0.000
Ag1 0.333 0.667 0.500
Te1 0.667 0.333 0.500
Cl1 0.379 0.023 0.715
Cl2 0.379 0.356 0.285
Cl3 0.644 0.023 0.285
Cl4 0.644 0.621 0.715
Cl5 0.977 0.356 0.715
Cl6 0.977 0.621 0.285

## Properties
Its uncorrected formation energy is -673 meV per atom.

[24]
VASP calculation (PBE) on a relaxed structure of TiReNi2.

a b c (Å): 9.067 9.067 9.067
angles (deg): 156.98 156.98 32.79
Fractional positions:
Ti1 0.000 0.000 0.000
Ti2 0.750 0.250 0.500
Re1 0.250 0.750 0.500
Re2 0.500 0.500 0.000
Ni1 0.128 0.625 0.003
Ni2 0.375 0.378 0.503
Ni3 0.622 0.125 0.997
Ni4 0.875 0.872 0.497

## Properties
The formation energy comes out at 7.84 kcal/mol of atoms.

[25]
VASP calculation (PBE) on a relaxed structure of WS2Br.

a b c (Å): 6.762 6.762 6.762
angles (deg): 120.72 120.72 88.75
Fractional positions:
W1 0.000 0.000 0.000
W2 0.750 0.250 0.500
S1 0.007 0.625 0.882
S2 0.375 0.257 0.382
S3 0.743 0.125 0.118
S4 0.875 0.993 0.618
Br1 0.250 0.750 0.500
Br2 0.500 0.500 0.000

## Properties
Its uncorrected formation energy is 41 meV per atom.